Entry from Alexandria: crystalline TeSeSN2 at its relaxed geometry (PBE).

Values from the calculation:
Total magnetic moment = 0.000 μB/atom
Distance to the lowest polymorph of the same formula = 0.0270 eV per atom

POSCAR file:
```
TeSeSN2
1.0
3.774 0.000 0.000
0.000 3.774 0.000
0.000 0.000 7.180
Te Se S N
1 1 1 2
Cartesian
0.000 0.000 0.000
0.000 0.000 3.590
1.887 1.887 0.000
0.000 1.887 3.590
1.887 0.000 3.590
```

Entry from Alexandria: crystalline TeSeSN2 at its relaxed geometry (PBE).

Values from the calculation:
Total magnetic moment = 0.000 μB/atom
Distance to the lowest polymorph of the same formula = 0.0000 eV per atom

POSCAR file:
```
TeSeSN2
1.0
3.856 0.000 0.000
0.000 3.856 0.000
0.000 0.000 6.491
Te Se S N
1 1 1 2
Cartesian
0.000 0.000 0.000
0.000 0.000 3.245
1.928 1.928 3.245
0.000 1.928 0.000
1.928 0.000 0.000
```

Entry from Alexandria: crystalline TeSeSN2 at its relaxed geometry (PBE).

Values from the calculation:
Total magnetic moment = 0.000 μB/atom
Distance to the lowest polymorph of the same formula = 0.0890 eV per atom

POSCAR file:
```
TeSeSN2
1.0
3.715 0.000 0.000
0.000 3.715 0.000
0.000 0.000 7.452
Te Se S N
1 1 1 2
Cartesian
0.000 0.000 0.000
1.858 1.858 0.000
0.000 0.000 3.726
0.000 1.858 3.726
1.858 0.000 3.726
```

Entry from Alexandria: crystalline TeSeSN2 at its relaxed geometry (PBE).

Values from the calculation:
Total magnetic moment = 0.028 μB/atom
Distance to the lowest polymorph of the same formula = 0.0063 eV per atom

POSCAR file:
```
TeSeSN2
1.0
3.861 0.000 0.000
0.000 3.861 0.000
0.000 0.000 6.363
Te Se S N
1 1 1 2
Cartesian
0.000 0.000 0.000
1.930 1.930 3.182
0.000 0.000 3.182
0.000 1.930 0.000
1.930 0.000 0.000
```

Entry from Alexandria: crystalline TeSeS2N at its relaxed geometry (PBE).

Values from the calculation:
Total magnetic moment = 0.000 μB/atom
Distance to the lowest polymorph of the same formula = 0.1753 eV per atom

POSCAR file:
```
TeSeS2N
1.0
5.139 0.000 0.000
0.000 5.139 0.000
0.000 0.000 3.893
Te Se S N
1 1 2 1
Cartesian
0.000 0.000 0.000
2.569 2.569 1.947
0.000 2.569 0.000
2.569 0.000 0.000
0.000 0.000 1.947
```

Entry from Alexandria: crystalline Te2SeSN at its relaxed geometry (PBE).

Values from the calculation:
Total magnetic moment = 0.000 μB/atom
Distance to the lowest polymorph of the same formula = 0.0000 eV per atom

POSCAR file:
```
Te2SeSN
1.0
5.953 0.000 0.000
0.000 5.953 0.000
0.000 0.000 3.229
Te Se S N
2 1 1 1
Cartesian
0.000 2.976 0.000
2.976 0.000 0.000
0.000 0.000 1.614
2.976 2.976 0.000
2.976 2.976 1.614
```

Entry from Alexandria: crystalline Th2SeSN at its relaxed geometry (PBE).

Values from the calculation:
Total magnetic moment = 0.000 μB/atom

POSCAR file:
```
Th2SeSN
1.0
7.433 -1.984 0.000
7.433 1.984 0.000
-6.709 0.000 7.642
Th Se S N
4 2 2 2
Cartesian
-1.142 0.000 3.445
1.660 0.000 0.809
6.496 0.000 6.833
9.299 0.000 4.197
-2.991 0.000 5.932
11.147 0.000 1.710
1.458 0.000 6.359
6.699 0.000 1.283
1.188 0.000 3.054
6.968 0.000 4.588
```

Entry from Alexandria: crystalline TiSeS2N at its relaxed geometry (PBE).

Values from the calculation:
Total magnetic moment = 0.000 μB/atom
Distance to the lowest polymorph of the same formula = 0.5993 eV per atom

POSCAR file:
```
TiSeS2N
1.0
4.839 0.000 0.000
0.000 4.839 0.000
0.000 0.000 3.604
Ti Se S N
1 1 2 1
Cartesian
0.000 0.000 0.000
2.419 2.419 1.802
0.000 2.419 1.802
2.419 0.000 1.802
2.419 2.419 0.000
```

Entry from Alexandria: crystalline TiSeS2N at its relaxed geometry (PBE).

Values from the calculation:
Total magnetic moment = 0.000 μB/atom
Distance to the lowest polymorph of the same formula = 0.0000 eV per atom

POSCAR file:
```
TiSeS2N
1.0
4.859 0.000 0.000
0.000 4.859 0.000
0.000 0.000 3.745
Ti Se S N
1 1 2 1
Cartesian
0.000 0.000 0.000
2.430 2.430 1.873
0.000 2.430 0.000
2.430 0.000 0.000
0.000 0.000 1.873
```

Entry from Alexandria: crystalline TlSe2SN at its relaxed geometry (PBE).

Values from the calculation:
Total magnetic moment = 0.452 μB/atom
Distance to the lowest polymorph of the same formula = 0.8788 eV per atom

POSCAR file:
```
TlSe2SN
1.0
5.479 0.000 0.000
0.000 5.479 0.000
0.000 0.000 4.278
Tl Se S N
1 2 1 1
Cartesian
0.000 0.000 0.000
0.000 2.740 0.000
2.740 0.000 0.000
2.740 2.740 2.139
0.000 0.000 2.139
```

Entry from Alexandria: crystalline TlSe2SN at its relaxed geometry (PBE).

Values from the calculation:
Total magnetic moment = 0.000 μB/atom
Distance to the lowest polymorph of the same formula = 0.0000 eV per atom

POSCAR file:
```
TlSe2SN
1.0
5.862 0.000 0.000
0.000 5.862 0.000
0.000 0.000 3.236
Tl Se S N
1 2 1 1
Cartesian
0.000 0.000 0.000
0.000 2.931 1.618
2.931 0.000 1.618
2.931 2.931 1.618
2.931 2.931 0.000
```

Entry from Alexandria: crystalline Tm4Se2SN at its relaxed geometry (PBE).

Values from the calculation:
Total magnetic moment = 0.000 μB/atom

POSCAR file:
```
Tm4Se2SN
1.0
6.580 0.000 0.000
0.000 3.752 0.000
-2.154 0.000 6.454
Tm Se S N
4 2 1 1
Cartesian
0.965 0.000 1.309
-0.151 1.876 5.101
4.577 1.876 1.352
3.460 0.000 5.145
-1.077 0.000 3.227
2.213 1.876 3.227
3.290 0.000 0.000
0.000 1.876 0.000
```

Entry from Alexandria: crystalline Tm8Se4S3N at its relaxed geometry (PBE).

Values from the calculation:
Total magnetic moment = 0.000 μB/atom

POSCAR file:
```
Tm8Se4S3N
1.0
3.853 2.225 6.460
-3.853 2.225 6.460
0.000 -4.449 6.460
Tm Se S N
8 4 3 1
Cartesian
0.000 0.000 4.679
-1.770 -1.022 11.049
0.000 -2.043 8.332
-1.770 1.022 8.332
1.770 -1.022 11.049
0.000 2.043 11.049
1.770 1.022 8.332
0.000 0.000 14.702
0.000 0.000 0.000
-1.927 -1.112 6.460
-1.927 1.112 12.921
0.000 2.225 6.460
-3.853 0.000 9.691
-1.927 1.112 3.230
1.927 1.112 3.230
0.000 0.000 9.691
```

no.,raw total energy (eV/f.u.),volume (Å³/cell),formation energy (no corrections) (meV/atom)
1,-19.9,102.2,1504
2,-20.0,96.5,1477
3,-19.6,102.9,1566
4,-20.0,94.8,1484
5,-17.1,102.8,1230
6,-17.7,114.4,899
7,-40.1,225.4,-1861
8,-23.9,84.4,810
9,-26.9,88.4,211
10,-13.9,128.4,1588
11,-18.2,111.2,709
12,-51.2,159.3,-1740
13,-98.8,332.2,-1773